Material: Nd2Ta2Ni15
Method: DFT, PBE
State: optimized geometry

## Properties
Symmetry   R-3m
Energy of formation from the pure elements   -234 meV per atom
Calculated density   9.84 g/cm³

Lattice parameters (Å, degrees): 6.426 6.426 6.426 82.02 82.02 82.02
Fractional coordinates of all 19 atoms:
Nd 0.150 0.150 0.150
Nd 0.850 0.850 0.850
Ta 0.397 0.397 0.397
Ta 0.603 0.603 0.603
Ni 0.000 0.500 0.500
Ni 0.157 0.157 0.654
Ni 0.157 0.654 0.157
Ni 0.205 0.500 0.795
Ni 0.205 0.795 0.500
Ni 0.346 0.843 0.843
Ni 0.500 0.000 0.500
Ni 0.500 0.205 0.795
Ni 0.500 0.500 0.000
Ni 0.500 0.795 0.205
Ni 0.654 0.157 0.157
Ni 0.795 0.205 0.500
Ni 0.795 0.500 0.205
Ni 0.843 0.346 0.843
Ni 0.843 0.843 0.346